Mg2Si3Ni2, relaxed, DFT GGA-PBE; E_form (uncorrected) = -0.3578 eV/atom
1.0
4.619 -1.912 0.000
4.619 1.912 0.000
-2.848 0.000 5.648
Mg Si Ni
2 3 2
Direct
0.156 0.156 0.294
0.844 0.844 0.706
0.379 0.379 0.050
0.500 0.500 0.500
0.621 0.621 0.950
0.128 0.128 0.718
0.872 0.872 0.282